#P
CaPb5 | PBEsol | optimized geometry

abc: 4.8161 4.9026 7.8636
angles: 71.84 90.00 90.00
Positions (direct):
Pb: 0.5000 0.6663 0.6674
Ca: 0.0000 0.5000 0.0000
Pb: 0.5000 0.0000 0.0000
Pb: 0.0000 0.1667 0.6665
Pb: 0.5000 0.3337 0.3326
Pb: 0.0000 0.8333 0.3335

Calculated values
N(E_F)	0.46	states/eV per atom

#Q
CaPb5 | PBEsol | optimized geometry

abc: 3.6638 6.4783 8.0513
angles: 106.05 90.00 106.43
Positions (direct):
Ca: 0.0066 0.0132 0.0077
Pb: 0.3315 0.6630 0.6766
Pb: 0.3835 0.7670 0.2661
Pb: 0.7190 0.4379 0.9366
Pb: 0.0500 0.1000 0.5997
Pb: 0.6761 0.3522 0.3466

Calculated values
N(E_F)	0.60	states/eV per atom

Least stable = #Q

#P
CaRe3Pb | PBEsol | optimized geometry

abc: 4.6709 4.6709 4.6709
angles: 90.00 90.00 90.00
Positions (direct):
Re: 0.0000 0.5000 0.0000
Re: 0.5000 0.0000 0.0000
Pb: 0.5000 0.5000 0.5000
Re: 0.0000 0.0000 0.5000
Ca: 0.0000 0.0000 0.0000

Calculated values
N(E_F)	1.53	states/eV per atom

#Q
CaRe3Pb | PBEsol | optimized geometry

abc: 4.9680 4.9680 4.9680
angles: 90.00 90.00 90.00
Positions (direct):
Re: 0.0000 0.0000 0.5000
Ca: 0.5000 0.5000 0.5000
Re: 0.0000 0.5000 0.0000
Re: 0.5000 0.0000 0.0000
Pb: 0.0000 0.0000 0.0000

Calculated values
N(E_F)	1.93	states/eV per atom

Least stable = #P

#P
Ca2TePb | PBEsol | optimized geometry

abc: 5.5189 5.5189 5.5189
angles: 60.00 60.00 60.00
Positions (direct):
Te: 0.2500 0.2500 0.2500
Ca: 0.0000 0.0000 0.0000
Ca: 0.7500 0.7500 0.7500
Pb: 0.5000 0.5000 0.5000

Calculated values
N(E_F)	0.99	states/eV per atom

#Q
Ca2TePb | PBEsol | optimized geometry

abc: 3.8859 5.4596 5.4596
angles: 90.00 90.00 90.00
Positions (direct):
Pb: 0.5000 0.5000 0.5000
Ca: 0.0000 0.5000 0.0000
Te: 0.5000 0.0000 0.0000
Ca: 0.0000 0.0000 0.5000

Calculated values
N(E_F)	0.58	states/eV per atom

Least stable = #P

#P
CaTlPb | PBEsol | optimized geometry

abc: 5.1246 5.1246 5.1246
angles: 60.00 60.00 60.00
Positions (direct):
Pb: 0.0000 0.0000 0.0000
Ca: 0.2500 0.2500 0.2500
Tl: 0.5000 0.5000 0.5000

Calculated values
N(E_F)	0.60	states/eV per atom

#Q
CaTlPb | PBEsol | optimized geometry

abc: 3.7409 5.1429 5.1429
angles: 120.00 90.00 90.00
Positions (direct):
Pb: 0.6316 0.3333 0.6667
Ca: 0.0191 0.0000 0.0000
Tl: 0.3493 0.6667 0.3333

Calculated values
N(E_F)	0.43	states/eV per atom

Least stable = #P